No. 1
MnAg2Ru: optimized geometry, PBEsol.

ΔE to the lowest computed polymorph ... 0.134 eV per atom
Formation energy from the elements ... 11.56 kcal/mol of atoms
Symmetry ... C2/m, No. 12
Magnetic moment ... 4.10 μB per formula unit

a = 2.651 Å, b = 4.843 Å, c = 5.412 Å
α = 115.14°, β = 101.74°, γ = 95.31°
Site moments in Bohr magnetons follow the coordinates.
Fractional positions:
Ag: 0.000 0.000 0.500  0.03
Ag: 0.500 0.500 0.500  0.03
Mn: 0.500 0.000 0.000  3.60
Ru: 0.000 0.500 0.000  0.24

---

No. 2
MnAgRu2: optimized geometry, PBEsol.

ΔE to the lowest computed polymorph ... 0.062 eV per atom
Formation energy from the elements ... 8.98 kcal/mol of atoms
Symmetry ... C2/m, No. 12
Magnetic moment ... 2.06 μB per formula unit

a = 2.702 Å, b = 4.681 Å, c = 4.654 Å
α = 102.37°, β = 90.00°, γ = 106.77°
Site moments in Bohr magnetons follow the coordinates.
Fractional positions:
Ag: 0.000 0.000 0.500  0.02
Mn: 0.500 0.000 0.000  2.50
Ru: 0.767 0.533 0.772  -0.26
Ru: 0.233 0.467 0.228  -0.26

---

No. 3
MnAgRu2: optimized geometry, PBEsol.

ΔE to the lowest computed polymorph ... 0.261 eV per atom
Formation energy from the elements ... 13.56 kcal/mol of atoms
Symmetry ... F-43m, No. 216
Magnetic moment ... 4.21 μB per formula unit

a = 4.318 Å, b = 4.318 Å, c = 4.318 Å
α = 60.00°, β = 60.00°, γ = 60.00°
Site moments in Bohr magnetons follow the coordinates.
Fractional positions:
Ag: 0.500 0.500 0.500  0.06
Mn: 0.250 0.250 0.250  3.57
Ru: 0.000 0.000 0.000  0.40
Ru: 0.750 0.750 0.750  0.04

---

No. 4
MnAgRu2: optimized geometry, PBEsol.

ΔE to the lowest computed polymorph ... 0.019 eV per atom
Formation energy from the elements ... 7.98 kcal/mol of atoms
Symmetry ... P4/mmm, No. 123
Magnetic moment ... 0.40 μB per formula unit

a = 2.638 Å, b = 2.638 Å, c = 7.684 Å
α = 90.00°, β = 90.00°, γ = 90.00°
Site moments in Bohr magnetons follow the coordinates.
Fractional positions:
Ag: 0.500 0.500 0.000  0.01
Mn: 0.500 0.500 0.500  0.36
Ru: 0.000 0.000 0.719  0.00
Ru: 0.000 0.000 0.281  0.00

---

No. 5
MnAgRu2: optimized geometry, PBEsol.

ΔE to the lowest computed polymorph ... 0.137 eV per atom
Formation energy from the elements ... 10.71 kcal/mol of atoms
Symmetry ... P4/mmm, No. 123
Magnetic moment ... 2.39 μB per formula unit

a = 3.861 Å, b = 3.774 Å, c = 3.774 Å
α = 90.00°, β = 90.00°, γ = 90.00°
Site moments in Bohr magnetons follow the coordinates.
Fractional positions:
Ag: 0.500 0.500 0.500  0.01
Mn: 0.500 0.000 0.000  3.06
Ru: 0.000 0.000 0.500  -0.36
Ru: 0.000 0.500 0.000  -0.36

---

No. 6
MnAgRu2: optimized geometry, PBEsol.

ΔE to the lowest computed polymorph ... 0.105 eV per atom
Formation energy from the elements ... 9.96 kcal/mol of atoms
Symmetry ... Cmmm, No. 65
Magnetic moment ... 2.58 μB per formula unit

a = 2.638 Å, b = 2.638 Å, c = 8.898 Å
α = 90.00°, β = 90.00°, γ = 115.53°
Site moments in Bohr magnetons follow the coordinates.
Fractional positions:
Ag: 0.500 0.500 0.500  0.01
Mn: 0.500 0.500 0.000  2.60
Ru: 0.000 0.000 0.226  -0.05
Ru: 0.000 0.000 0.774  -0.05

---

No. 7
MnAg2Ru: optimized geometry, PBEsol.

ΔE to the lowest computed polymorph ... 0.000 eV per atom
Formation energy from the elements ... 8.47 kcal/mol of atoms
Symmetry ... Cmm2, No. 35
Magnetic moment ... 3.30 μB per formula unit

a = 2.702 Å, b = 2.702 Å, c = 8.966 Å
α = 90.00°, β = 90.00°, γ = 113.97°
Site moments in Bohr magnetons follow the coordinates.
Fractional positions:
Ag: 0.000 0.000 0.006  0.00
Ag: 0.500 0.500 0.737  0.03
Mn: 0.000 0.000 0.485  3.10
Ru: 0.500 0.500 0.272  0.04

---

No. 8
MnAgSb: optimized geometry, PBEsol.

Symmetry ... P3m1, No. 156
Magnetic moment ... 3.67 μB per formula unit
Formation energy (no corrections) ... 0.3622 eV/atom

a = 3.438 Å, b = 4.357 Å, c = 4.357 Å
α = 120.00°, β = 90.00°, γ = 90.00°
Site moments in Bohr magnetons follow the coordinates.
Fractional positions:
Ag: 0.980 0.000 0.000  0.00
Mn: 0.671 0.333 0.667  3.56
Sb: 0.349 0.667 0.333  -0.04

---

How do the records compare in DOS(E_F)? In the order shown, they have 2.7; 4.0; 3.8; 6.3; 4.0; 4.9; 3.5; 1.3 states/eV/f.u..